No. 1
# CaPtI2 GGA-PBE optimized geometry
data_CaPtI2
_chemical_formula_sum 'Ca2 Pt2 I4'
_cell_length_a 5.857
_cell_length_b 5.857
_cell_length_c 9.031
_cell_angle_alpha 71.08
_cell_angle_beta 71.08
_cell_angle_gamma 90.00
_space_group_name_H-M_alt 'P 1'
_space_group_IT_number 1
loop_
_space_group_symop_operation_xyz
'x,y,z'
loop_
_atom_site_label
_atom_site_type_symbol
_atom_site_fract_x
_atom_site_fract_y
_atom_site_fract_z
Pt1 Pt 0.000 0.000 0.000
Pt2 Pt 0.750 0.250 0.500
I1 I 0.082 0.625 0.250
I2 I 0.668 0.125 0.250
I3 I 0.875 0.918 0.750
I4 I 0.375 0.332 0.750
Ca1 Ca 0.500 0.500 0.000
Ca2 Ca 0.250 0.750 0.500
# Magnetization   0.00 μB/f.u.
# Space-group type   No. 122
# Energy above the most stable polymorph in this dataset   0.000 eV/f.u.
# Raw formation energy   -49.0 kJ per mole of atoms

---

No. 2
# CeTmSc2 GGA-PBE optimized geometry
data_CeTmSc2
_chemical_formula_sum 'Ce1 Tm1 Sc2'
_cell_length_a 3.373
_cell_length_b 3.373
_cell_length_c 11.004
_cell_angle_alpha 81.19
_cell_angle_beta 81.19
_cell_angle_gamma 60.00
_space_group_name_H-M_alt 'P 1'
_space_group_IT_number 1
loop_
_space_group_symop_operation_xyz
'x,y,z'
loop_
_atom_site_label
_atom_site_type_symbol
_atom_site_fract_x
_atom_site_fract_y
_atom_site_fract_z
Tm1 Tm 0.500 0.500 0.500
Sc1 Sc 0.749 0.749 0.753
Sc2 Sc 0.251 0.251 0.247
Ce1 Ce 0.000 0.000 0.000
# Magnetization   0.23 μB/f.u.
# ΔE_f   0.06 eV/atom
# Space-group type   No. 166
# Energy above the most stable polymorph in this dataset   0.000 eV/f.u.

---

No. 3
# GdTmZnHg GGA-PBE optimized geometry
data_GdTmZnHg
_chemical_formula_sum 'Gd1 Tm1 Zn1 Hg1'
_cell_length_a 5.163
_cell_length_b 5.163
_cell_length_c 5.163
_cell_angle_alpha 60.00
_cell_angle_beta 60.00
_cell_angle_gamma 60.00
_space_group_name_H-M_alt 'P 1'
_space_group_IT_number 1
loop_
_space_group_symop_operation_xyz
'x,y,z'
loop_
_atom_site_label
_atom_site_type_symbol
_atom_site_fract_x
_atom_site_fract_y
_atom_site_fract_z
Tm1 Tm 0.250 0.250 0.250
Hg1 Hg 0.500 0.500 0.500
Zn1 Zn 0.000 0.000 0.000
Gd1 Gd 0.750 0.750 0.750
# Magnetization   7.59 μB/f.u.
# ΔE_f   -0.40 eV/atom
# Space-group type   No. 216